Density functional theory data (PBE) for a geometry-optimized Ba3Ag4Sn2 structure.

Unit cell a=4.9170 b=6.7915 c=9.6693 alpha=100.50 beta=90.00 gamma=111.22
Fractional positions:
Ag 0.9458 0.8917 0.6141
Ba 0.6726 0.3452 0.6679
Ba 0.3274 0.6548 0.3321
Sn 0.3972 0.7945 0.7192
Ba 0.0000 0.0000 0.0000
Ag 0.0542 0.1083 0.3859
Ag 0.7186 0.4372 0.0569
Ag 0.2814 0.5628 0.9431
Sn 0.6028 0.2055 0.2808

Results
ρ	6.08	g/cm3
symmetry	No. 12
DOS(E_F)	0.805	states/eV per atom
energy of formation	-383	meV per atom



Density functional theory data (PBE) for a geometry-optimized BaAgSn4 structure.

Unit cell a=6.3564 b=6.3564 c=6.3564 alpha=60.00 beta=60.00 gamma=60.00
Fractional positions:
Ba 0.2500 0.2500 0.2500
Sn 0.6257 0.6257 0.6257
Ag 0.0000 0.0000 0.0000
Sn 0.6257 0.1230 0.6257
Sn 0.1230 0.6257 0.6257
Sn 0.6257 0.6257 0.1230

Results
ρ	6.58	g/cm3
symmetry	No. 216
DOS(E_F)	1.613	states/eV per atom
energy of formation	-92	meV per atom
ΔE to the lowest computed polymorph	0.1874	eV/atom



Density functional theory data (PBE) for a geometry-optimized BaAg2Sn structure.

Unit cell a=4.8769 b=4.8769 c=6.3430 alpha=67.39 beta=67.39 gamma=60.00
Fractional positions:
Ag 0.2017 0.2017 0.3949
Ba 0.0000 0.0000 0.0000
Sn 0.5000 0.5000 0.5000
Ag 0.7983 0.7983 0.6051

Results
ρ	6.69	g/cm3
symmetry	No. 166
DOS(E_F)	0.200	states/eV per atom
energy of formation	-327	meV per atom



Density functional theory data (PBE) for a geometry-optimized Ba2Ag3Sn6 structure.

Unit cell a=4.9038 b=8.6748 c=8.6748 alpha=120.00 beta=90.00 gamma=90.00
Fractional positions:
Sn 0.5000 0.6822 0.6822
Ag 0.5000 0.6414 0.0000
Ba 0.0000 0.3333 0.6667
Sn 0.0000 0.2007 0.2007
Sn 0.5000 0.3178 0.0000
Sn 0.5000 0.0000 0.3178
Ba 0.0000 0.6667 0.3333
Ag 0.5000 0.0000 0.6414
Ag 0.5000 0.3586 0.3586
Sn 0.0000 0.0000 0.7993
Sn 0.0000 0.7993 0.0000

Results
ρ	6.81	g/cm3
symmetry	No. 189
DOS(E_F)	0.342	states/eV per atom
energy of formation	-297	meV per atom



Density functional theory data (PBE) for a geometry-optimized BaAg4Sn2 structure.

Unit cell a=4.8065 b=7.7347 c=18.9094 alpha=90.00 beta=90.00 gamma=90.00
Fractional positions:
Ag 0.2500 0.0086 0.9066
Sn 0.2500 0.5382 0.2604
Ag 0.7500 0.3532 0.3201
Ag 0.2500 0.3297 0.5469
Sn 0.7500 0.2789 0.4684
Ag 0.2500 0.8532 0.1799
Sn 0.7500 0.0382 0.2396
Ag 0.7500 0.6703 0.4531
Ba 0.2500 0.0047 0.3797
Ag 0.7500 0.9914 0.0934
Ag 0.2500 0.2155 0.1991
Ag 0.2500 0.4914 0.4066
Ag 0.7500 0.8297 0.9531
Ag 0.7500 0.5086 0.5934
Ag 0.2500 0.1703 0.0469
Ag 0.7500 0.7845 0.8009
Ag 0.2500 0.2845 0.6991
Sn 0.2500 0.9618 0.7604
Sn 0.7500 0.2211 0.9684
Ag 0.7500 0.1468 0.8201
Ba 0.7500 0.5047 0.1203
Sn 0.2500 0.7211 0.5316
Sn 0.7500 0.4618 0.7396
Ag 0.7500 0.7155 0.3009
Ba 0.7500 0.9953 0.6203
Ag 0.2500 0.6468 0.6799
Ba 0.2500 0.4953 0.8797
Sn 0.2500 0.7789 0.0316

Results
ρ	7.62	g/cm3
symmetry	No. 62
DOS(E_F)	0.440	states/eV per atom
energy of formation	-212	meV per atom
ΔE to the lowest computed polymorph	0.0000	eV/atom



Density functional theory data (PBE) for a geometry-optimized BaAg2Sn4 structure.

Unit cell a=4.9936 b=7.7102 c=19.7267 alpha=90.00 beta=90.00 gamma=90.00
Fractional positions:
Ag 0.7500 0.0255 0.2152
Ag 0.2500 0.5255 0.2848
Sn 0.7500 0.3261 0.3201
Sn 0.2500 0.3494 0.0334
Ag 0.7500 0.2415 0.4659
Sn 0.7500 0.5183 0.5657
Sn 0.7500 0.7200 0.3133
Ag 0.2500 0.7585 0.5341
Sn 0.7500 0.1739 0.8201
Ba 0.7500 0.9810 0.6432
Sn 0.2500 0.2200 0.1867
Ba 0.2500 0.4810 0.8568
Sn 0.7500 0.8494 0.4666
Sn 0.2500 0.4817 0.4343
Ba 0.2500 0.0190 0.3568
Ag 0.7500 0.2585 0.9659
Ag 0.2500 0.9745 0.7848
Sn 0.7500 0.9817 0.0657
Sn 0.7500 0.6506 0.9666
Sn 0.2500 0.0183 0.9343
Sn 0.2500 0.8261 0.1799
Ag 0.2500 0.7415 0.0341
Ag 0.7500 0.4745 0.7152
Sn 0.7500 0.7800 0.8133
Sn 0.2500 0.6739 0.6799
Sn 0.2500 0.2800 0.6867
Ba 0.7500 0.5190 0.1432
Sn 0.2500 0.1506 0.5334

Results
ρ	7.24	g/cm3
symmetry	No. 62
DOS(E_F)	0.371	states/eV per atom
energy of formation	-233	meV per atom
ΔE to the lowest computed polymorph	0.0000	eV/atom



Density functional theory data (PBE) for a geometry-optimized Ba2Ag2Sn3 structure.

Unit cell a=4.9591 b=6.4091 c=7.7181 alpha=108.54 beta=90.00 gamma=112.76
Fractional positions:
Sn 0.6042 0.2084 0.4355
Sn 0.3958 0.7916 0.5645
Ba 0.1555 0.3111 0.7847
Ba 0.8445 0.6889 0.2153
Sn 0.5000 0.0000 0.0000
Ag 0.1433 0.2865 0.2742
Ag 0.8567 0.7135 0.7258

Results
ρ	6.62	g/cm3
symmetry	No. 12
DOS(E_F)	0.619	states/eV per atom
energy of formation	-383	meV per atom



Density functional theory data (PBE) for a geometry-optimized BaAgSn2 structure.

Unit cell a=5.9461 b=7.0566 c=11.7089 alpha=91.04 beta=99.20 gamma=90.42
Fractional positions:
Ag 0.5257 0.5972 0.8949
Ba 0.7767 0.3738 0.3745
Sn 0.3916 0.1640 0.5456
Sn 0.7631 0.8343 0.7560
Ba 0.7032 0.8765 0.1339
Sn 0.7655 0.3787 0.7425
Ba 0.2968 0.1235 0.8661
Ag 0.9591 0.0909 0.6093
Sn 0.6084 0.8360 0.4544
Sn 0.2369 0.1657 0.2440
Ba 0.2233 0.6262 0.6255
Sn 0.2345 0.6213 0.2575
Ag 0.0409 0.9091 0.3907
Ag 0.4743 0.4028 0.1051
Sn 0.1142 0.6766 0.9722
Sn 0.8858 0.3234 0.0278

Results
ρ	6.61	g/cm3
symmetry	No. 2
DOS(E_F)	0.418	states/eV per atom
energy of formation	-365	meV per atom
ΔE to the lowest computed polymorph	0.0406	eV/atom



What did the sixth record say?
Density functional theory data (PBE) for a geometry-optimized BaAg2Sn4 structure.

Unit cell a=4.9936 b=7.7102 c=19.7267 alpha=90.00 beta=90.00 gamma=90.00
Fractional positions:
Ag 0.7500 0.0255 0.2152
Ag 0.2500 0.5255 0.2848
Sn 0.7500 0.3261 0.3201
Sn 0.2500 0.3494 0.0334
Ag 0.7500 0.2415 0.4659
Sn 0.7500 0.5183 0.5657
Sn 0.7500 0.7200 0.3133
Ag 0.2500 0.7585 0.5341
Sn 0.7500 0.1739 0.8201
Ba 0.7500 0.9810 0.6432
Sn 0.2500 0.2200 0.1867
Ba 0.2500 0.4810 0.8568
Sn 0.7500 0.8494 0.4666
Sn 0.2500 0.4817 0.4343
Ba 0.2500 0.0190 0.3568
Ag 0.7500 0.2585 0.9659
Ag 0.2500 0.9745 0.7848
Sn 0.7500 0.9817 0.0657
Sn 0.7500 0.6506 0.9666
Sn 0.2500 0.0183 0.9343
Sn 0.2500 0.8261 0.1799
Ag 0.2500 0.7415 0.0341
Ag 0.7500 0.4745 0.7152
Sn 0.7500 0.7800 0.8133
Sn 0.2500 0.6739 0.6799
Sn 0.2500 0.2800 0.6867
Ba 0.7500 0.5190 0.1432
Sn 0.2500 0.1506 0.5334

Results
ρ	7.24	g/cm3
symmetry	No. 62
DOS(E_F)	0.371	states/eV per atom
energy of formation	-233	meV per atom
ΔE to the lowest computed polymorph	0.0000	eV/atom